## PaP2W (PBE-GGA)

Data for crystalline PaP2W at its relaxed geometry.

abc: 3.0749 3.0749 9.3873
angles: 80.57 80.57 60.00
Sites, in units of the cell vectors:
P 0.1040 0.1040 0.6881
P 0.8960 0.8960 0.3119
Pa 0.0000 0.0000 0.0000
W 0.5000 0.5000 0.5000

Properties
calculated volume = 18.870 Å³ per atom
formation enthalpy at 0 K = -6 kJ/mol of atoms
distance to the lowest polymorph of the same formula = 309 meV per atom

***

## LaBe (PBE-GGA)

Data for crystalline LaBe at its relaxed geometry.

abc: 3.8533 3.8533 14.9558
angles: 90.00 90.00 120.00
Sites, in units of the cell vectors:
La 0.3333 0.6667 0.1122
La 0.6667 0.3333 0.6122
La 0.6667 0.3333 0.8878
La 0.3333 0.6667 0.3878
Be 0.0000 0.0000 0.2500
Be 0.0000 0.0000 0.7500
Be 0.3333 0.6667 0.7500
Be 0.6667 0.3333 0.2500

Properties
calculated volume = 24.039 Å³ per atom
formation enthalpy at 0 K = 13 kJ/mol of atoms
distance to the lowest polymorph of the same formula = 98 meV per atom

***

## AcPm2Pr5Y (PBE-GGA)

Data for crystalline AcPm2Pr5Y at its relaxed geometry.

abc: 9.1627 9.1627 10.2213
angles: 116.63 116.63 90.00
Sites, in units of the cell vectors:
Ac 0.2500 0.2500 0.5000
Ac 0.7500 0.7500 0.5000
Pm 0.1148 0.3852 0.0000
Pm 0.6148 0.1148 0.0000
Pm 0.3852 0.8852 0.0000
Pm 0.8852 0.6148 0.0000
Pr 0.9275 0.4275 0.2655
Pr 0.6621 0.1621 0.7345
Pr 0.0725 0.5725 0.7345
Pr 0.1621 0.0725 0.7345
Pr 0.5725 0.6621 0.7345
Pr 0.8379 0.9275 0.2655
Pr 0.4275 0.3379 0.2655
Pr 0.3379 0.8379 0.2655
Pr 0.5000 0.5000 0.0000
Pr 0.0000 0.0000 0.0000
Y 0.2500 0.7500 0.5000
Y 0.7500 0.2500 0.5000

Properties
calculated volume = 36.873 Å³ per atom
formation enthalpy at 0 K = 25 kJ/mol of atoms

***

## LiCe2UN4 (PBE-GGA)

Data for crystalline LiCe2UN4 at its relaxed geometry.

abc: 3.5614 5.7481 6.0175
angles: 107.31 90.00 90.00
Site moments in Bohr magnetons follow the coordinates.
Sites, in units of the cell vectors:
Li 0.0000 0.0000 0.0000  0.00
Ce 0.5000 0.0000 0.5000  0.72
Ce 0.0000 0.5000 0.5000  0.20
U 0.5000 0.5000 0.0000  0.51
N 0.5000 0.2930 0.2431  -0.03
N 0.5000 0.7070 0.7569  -0.03
N 0.0000 0.2725 0.7771  -0.04
N 0.0000 0.7275 0.2229  -0.04

Properties
calculated volume = 14.701 Å³ per atom
ΔE_f (raw) = -1197 meV per atom